Density functional theory data (PBE) for an optimized crystal structure of NdTm2Zn2.

```
NdTm2Zn2
1.0
4.610 0.000 0.000
0.000 4.858 -0.072
0.000 -1.355 11.675
Nd Tm Zn
2 4 4
direct
0.250 0.682 0.261
0.750 0.318 0.739
0.250 0.869 0.882
0.750 0.131 0.118
0.250 0.252 0.505
0.750 0.748 0.495
0.250 0.796 0.645
0.750 0.204 0.355
0.250 0.403 0.015
0.750 0.597 0.985
```

## Properties
- Calculated volume: 261.0 Å³ per cell
- Energy above the lowest structure with this stoichiometry: 0.50 eV per formula unit
- VASP energy: -34.1 eV for the cell shown

***

Density functional theory data (PBE) for an optimized crystal structure of NdTm5Zn4.

```
NdTm5Zn4
1.0
-2.074 -0.215 -2.849
1.760 -2.869 -1.065
-12.303 -11.185 9.800
Nd Tm Zn
1 5 4
direct
0.000 0.000 0.000
0.500 0.500 0.137
0.500 0.500 0.318
0.500 0.500 0.500
0.500 0.500 0.682
0.500 0.500 0.863
0.000 0.000 0.227
0.000 0.000 0.408
0.000 0.000 0.592
0.000 0.000 0.773
```

## Properties
- Calculated volume: 240.5 Å³ per cell
- VASP energy: -35.0 eV for the cell shown

***

Density functional theory data (PBE) for an optimized crystal structure of Nd5Tm4Zn.

```
Nd5Tm4Zn
1.0
-0.306 -1.742 3.177
-3.137 -1.468 -1.107
11.739 -18.358 -8.936
Nd Tm Zn
5 4 1
direct
0.500 0.500 0.078
0.500 0.500 0.290
0.500 0.500 0.500
0.500 0.500 0.710
0.500 0.500 0.922
0.000 0.000 0.186
0.000 0.000 0.395
0.000 0.000 0.605
0.000 0.000 0.814
0.000 0.000 0.000
```

## Properties
- Calculated volume: 311.4 Å³ per cell
- VASP energy: -43.4 eV for the cell shown

***

Density functional theory data (PBE) for an optimized crystal structure of Nd4TmZn5.

```
Nd4TmZn5
1.0
-0.021 -0.061 -3.642
2.855 -2.263 0.022
-11.403 -14.383 0.308
Nd Tm Zn
4 1 5
direct
0.000 0.000 0.194
0.000 0.000 0.398
0.000 0.000 0.602
0.000 0.000 0.806
0.000 0.000 0.000
0.500 0.500 0.089
0.500 0.500 0.297
0.500 0.500 0.500
0.500 0.500 0.703
0.500 0.500 0.911
```

## Properties
- Calculated volume: 243.6 Å³ per cell
- VASP energy: -33.0 eV for the cell shown

***

Density functional theory data (PBE) for an optimized crystal structure of NdTmZn2.

```
NdTmZn2
1.0
5.102 0.000 0.000
2.551 4.418 0.000
2.551 1.473 4.165
Zn Tm Nd
2 1 1
direct
0.250 0.250 0.250
0.750 0.750 0.750
0.000 0.000 0.000
0.500 0.500 0.500
```

## Properties
- Calculated volume: 93.9 Å³ per cell
- Energy above the lowest structure with this stoichiometry: 0.02 eV per formula unit
- VASP energy: -13.1 eV for the cell shown

***

Density functional theory data (PBE) for an optimized crystal structure of Nd3TmZn2.

```
Nd3TmZn2
1.0
3.680 0.000 0.000
0.000 3.680 0.000
0.000 0.000 12.275
Nd Tm Zn
3 1 2
direct
0.000 0.000 0.000
0.000 0.000 0.703
0.000 0.000 0.297
0.500 0.500 0.500
0.500 0.500 0.851
0.500 0.500 0.149
```

## Properties
- Calculated volume: 166.2 Å³ per cell
- Energy above the lowest structure with this stoichiometry: 0.00 eV per formula unit
- VASP energy: -22.5 eV for the cell shown

***

| no. | calculated density (g cm⁻³) | formation energy (meV per atom) | total moment (μB per formula unit) |
| --- | --- | --- | --- |
| 1 | 7.799 | -153 | 0.000 |
| 2 | 8.634 | -277 | 0.000 |
| 3 | 7.798 | -39 | 0.000 |
| 4 | 7.313 | -310 | 0.000 |
| 5 | 7.852 | -318 | 0.001 |
| 6 | 7.316 | -192 | 0.001 |